(1)
Material: HfZrGaPd
Method: DFT, PBE
State: relaxed

a = 4.742 Å, b = 4.742 Å, c = 4.742 Å
α = 60.00°, β = 60.00°, γ = 60.00°
Fractional positions:
Ga  0.250  0.250  0.250
Hf  0.000  0.000  0.000
Zr  0.500  0.500  0.500
Pd  0.750  0.750  0.750

mass density	9.818	g/cm3
energy	-7.152	eV/atom



(2)
Material: Pm2HfGa3
Method: DFT, PBE
State: relaxed

a = 5.940 Å, b = 5.940 Å, c = 8.783 Å
α = 90.00°, β = 90.00°, γ = 120.00°
Fractional positions:
Pm  0.667  0.333  0.442
Pm  0.333  0.667  0.558
Pm  0.333  0.667  0.942
Pm  0.667  0.333  0.058
Hf  0.000  0.000  0.500
Hf  0.000  0.000  0.000
Ga  0.177  0.354  0.250
Ga  0.354  0.177  0.750
Ga  0.823  0.646  0.750
Ga  0.177  0.823  0.250
Ga  0.823  0.177  0.750
Ga  0.646  0.823  0.250

mass density	8.385	g/cm3
energy	-5.272	eV/atom



(3)
Material: PmHfGa
Method: DFT, PBE
State: relaxed

a = 3.375 Å, b = 3.375 Å, c = 6.699 Å
α = 104.59°, β = 104.59°, γ = 90.00°
Fractional positions:
Hf  0.314  0.314  0.627
Ga  0.679  0.679  0.358
Pm  0.007  0.007  0.015

mass density	9.157	g/cm3
energy	-6.095	eV/atom
energy above the lowest structure with this stoichiometry	104	meV/atom



(4)
Material: PmHfGa3
Method: DFT, PBE
State: relaxed

a = 4.075 Å, b = 4.058 Å, c = 12.722 Å
α = 99.18°, β = 90.00°, γ = 90.00°
Fractional positions:
Pm  0.250  0.077  0.154
Pm  0.750  0.923  0.846
Hf  0.250  0.793  0.587
Hf  0.750  0.207  0.413
Ga  0.250  0.375  0.750
Ga  0.750  0.625  0.250
Ga  0.250  0.474  0.949
Ga  0.750  0.526  0.051
Ga  0.750  0.316  0.632
Ga  0.250  0.684  0.368

mass density	8.519	g/cm3
energy	-5.318	eV/atom



(5)
Material: PmHfGa
Method: DFT, PBE
State: relaxed

a = 4.336 Å, b = 7.609 Å, c = 7.609 Å
α = 120.00°, β = 90.00°, γ = 90.00°
Each line ends with the local moment (μB).
Fractional positions:
Ga  0.500  0.667  0.333  0.01
Ga  0.500  0.333  0.667  0.01
Ga  0.000  0.000  0.000  0.01
Pm  0.000  0.590  0.590  0.06
Pm  0.000  0.000  0.410  0.06
Pm  0.000  0.410  0.000  0.06
Hf  0.500  0.000  0.761  0.12
Hf  0.500  0.761  0.000  0.12
Hf  0.500  0.239  0.239  0.12

mass density	9.010	g/cm3
energy	-6.198	eV/atom
energy above the lowest structure with this stoichiometry	0	meV/atom



(6)
Material: PmHfGa6
Method: DFT, PBE
State: relaxed

a = 4.251 Å, b = 4.251 Å, c = 8.400 Å
α = 90.00°, β = 90.00°, γ = 90.00°
Fractional positions:
Pm  0.000  0.000  0.000
Hf  0.000  0.000  0.500
Ga  0.500  0.500  0.000
Ga  0.500  0.500  0.500
Ga  0.500  0.000  0.264
Ga  0.500  0.000  0.736
Ga  0.000  0.500  0.264
Ga  0.000  0.500  0.736

mass density	8.114	g/cm3
energy	-4.557	eV/atom



(7)
Material: Pm2HfGa4Pt3
Method: DFT, PBE
State: relaxed

a = 4.167 Å, b = 4.167 Å, c = 11.494 Å
α = 90.00°, β = 90.00°, γ = 90.00°
Fractional positions:
Pm  0.500  0.000  0.242
Pm  0.000  0.500  0.758
Hf  0.500  0.500  0.500
Ga  0.500  0.500  0.000
Ga  0.000  0.000  0.000
Ga  0.500  0.000  0.654
Ga  0.000  0.500  0.346
Pt  0.000  0.000  0.500
Pt  0.500  0.000  0.870
Pt  0.000  0.500  0.130

mass density	11.086	g/cm3
energy	-5.843	eV/atom



(8)
Material: PmHfGaRh
Method: DFT, PBE
State: relaxed

a = 4.882 Å, b = 4.882 Å, c = 4.882 Å
α = 60.00°, β = 60.00°, γ = 60.00°
Fractional positions:
Rh  0.750  0.750  0.750
Hf  0.500  0.500  0.500
Ga  0.250  0.250  0.250
Pm  0.000  0.000  0.000

mass density	10.015	g/cm3
energy	-6.711	eV/atom



(9)
Material: PmHfGaTc
Method: DFT, PBE
State: relaxed

a = 4.868 Å, b = 4.868 Å, c = 4.868 Å
α = 60.00°, β = 60.00°, γ = 60.00°
Fractional positions:
Hf  0.250  0.250  0.250
Tc  0.000  0.000  0.000
Ga  0.500  0.500  0.500
Pm  0.750  0.750  0.750

mass density	9.998	g/cm3
energy	-7.198	eV/atom



(10)
Material: PrHfGa
Method: DFT, PBE
State: relaxed

a = 4.394 Å, b = 7.654 Å, c = 7.654 Å
α = 120.00°, β = 90.00°, γ = 90.00°
Fractional positions:
Ga  0.500  0.667  0.333
Ga  0.500  0.333  0.667
Ga  0.000  0.000  0.000
Pr  0.000  0.590  0.590
Pr  0.000  0.000  0.410
Pr  0.000  0.410  0.000
Hf  0.500  0.000  0.764
Hf  0.500  0.764  0.000
Hf  0.500  0.236  0.236

mass density	8.695	g/cm3
energy	-6.181	eV/atom



(11)
Material: PrHfGa3
Method: DFT, PBE
State: relaxed

a = 4.101 Å, b = 4.107 Å, c = 12.778 Å
α = 99.25°, β = 90.00°, γ = 90.00°
Fractional positions:
Pr  0.250  0.078  0.155
Pr  0.750  0.922  0.845
Hf  0.250  0.794  0.587
Hf  0.750  0.206  0.413
Ga  0.250  0.374  0.748
Ga  0.750  0.626  0.252
Ga  0.250  0.474  0.948
Ga  0.750  0.526  0.052
Ga  0.750  0.315  0.630
Ga  0.250  0.685  0.370

mass density	8.264	g/cm3
energy	-5.310	eV/atom



(12)
Material: PrHfGa4
Method: DFT, PBE
State: relaxed

a = 4.180 Å, b = 5.780 Å, c = 5.780 Å
α = 78.58°, β = 68.80°, γ = 68.80°
Fractional positions:
Pr  0.000  0.000  0.000
Hf  0.500  0.500  0.500
Ga  0.241  0.424  0.094
Ga  0.241  0.094  0.424
Ga  0.759  0.576  0.906
Ga  0.759  0.906  0.576

mass density	8.211	g/cm3
energy	-4.914	eV/atom
energy above the lowest structure with this stoichiometry	0	meV/atom



(13)
Material: Pr2HfGa
Method: DFT, PBE
State: relaxed

a = 3.333 Å, b = 3.333 Å, c = 11.723 Å
α = 81.83°, β = 81.83°, γ = 60.00°
Fractional positions:
Pr  0.094  0.094  0.718
Pr  0.906  0.906  0.282
Hf  0.000  0.000  0.000
Ga  0.500  0.500  0.500

mass density	7.910	g/cm3
energy	-5.370	eV/atom



(14)
Material: PrHf2Ga6
Method: DFT, PBE
State: relaxed

a = 4.197 Å, b = 7.534 Å, c = 7.534 Å
α = 54.78°, β = 73.83°, γ = 73.83°
Fractional positions:
Pr  0.000  0.000  0.000
Hf  0.880  0.620  0.620
Hf  0.120  0.380  0.380
Ga  0.692  0.019  0.597
Ga  0.308  0.981  0.403
Ga  0.308  0.403  0.981
Ga  0.500  0.680  0.320
Ga  0.500  0.320  0.680
Ga  0.692  0.597  0.019

mass density	8.233	g/cm3
energy	-5.144	eV/atom



(15)
Material: PrHfGa4
Method: DFT, PBE
State: relaxed

a = 5.471 Å, b = 5.471 Å, c = 5.471 Å
α = 60.00°, β = 60.00°, γ = 60.00°
Fractional positions:
Pr  0.000  0.000  0.000
Hf  0.250  0.250  0.250
Ga  0.624  0.624  0.127
Ga  0.624  0.127  0.624
Ga  0.624  0.624  0.624
Ga  0.127  0.624  0.624

mass density	8.581	g/cm3
energy	-4.851	eV/atom
energy above the lowest structure with this stoichiometry	64	meV/atom



(16)
Material: Pr2HfGa3Pt4
Method: DFT, PBE
State: relaxed

a = 4.252 Å, b = 4.252 Å, c = 11.166 Å
α = 90.00°, β = 90.00°, γ = 90.00°
Fractional positions:
Pr  0.500  0.000  0.235
Pr  0.000  0.500  0.765
Hf  0.500  0.500  0.500
Ga  0.000  0.000  0.500
Ga  0.500  0.000  0.872
Ga  0.000  0.500  0.128
Pt  0.500  0.500  0.000
Pt  0.000  0.000  0.000
Pt  0.500  0.000  0.646
Pt  0.000  0.500  0.354

mass density	11.924	g/cm3
energy	-6.250	eV/atom



(17)
Material: PrHfZnGa
Method: DFT, PBE
State: relaxed

a = 4.971 Å, b = 4.971 Å, c = 4.971 Å
α = 60.00°, β = 60.00°, γ = 60.00°
Fractional positions:
Pr  0.500  0.500  0.500
Zn  0.250  0.250  0.250
Hf  0.000  0.000  0.000
Ga  0.750  0.750  0.750

mass density	8.687	g/cm3
energy	-5.004	eV/atom



(18)
Material: Hf2Ga2Pt
Method: DFT, PBE
State: relaxed

a = 6.512 Å, b = 6.512 Å, c = 4.169 Å
α = 90.00°, β = 90.00°, γ = 90.00°
Fractional positions:
Hf  0.171  0.671  0.500
Hf  0.671  0.829  0.500
Hf  0.829  0.329  0.500
Hf  0.329  0.171  0.500
Ga  0.365  0.865  0.000
Ga  0.865  0.635  0.000
Ga  0.635  0.135  0.000
Ga  0.135  0.365  0.000
Pt  0.000  0.000  0.000
Pt  0.500  0.500  0.000

mass density	12.990	g/cm3
energy	-7.161	eV/atom
energy above the lowest structure with this stoichiometry	0	meV/atom



(19)
Material: HfGaPt3
Method: DFT, PBE
State: relaxed

a = 4.994 Å, b = 4.994 Å, c = 4.994 Å
α = 90.00°, β = 90.00°, γ = 90.00°
Fractional positions:
Hf  0.000  0.000  0.000
Ga  0.500  0.500  0.500
Pt  0.000  0.500  0.000
Pt  0.000  0.000  0.500
Pt  0.500  0.000  0.000

mass density	11.111	g/cm3
energy	-5.652	eV/atom
energy above the lowest structure with this stoichiometry	1468	meV/atom



(20)
Material: Hf2Ga6Pt
Method: DFT, PBE
State: relaxed

a = 3.187 Å, b = 7.100 Å, c = 8.078 Å
α = 116.07°, β = 90.00°, γ = 90.00°
Fractional positions:
Hf  0.500  0.694  0.388
Hf  0.500  0.306  0.612
Ga  0.000  0.340  0.316
Ga  0.000  0.025  0.684
Ga  0.000  0.660  0.684
Ga  0.500  0.301  0.000
Ga  0.000  0.975  0.316
Ga  0.500  0.699  0.000
Pt  0.000  0.000  0.000

mass density	9.816	g/cm3
energy	-5.200	eV/atom



Energy of formation from the pure elements, record by record: -0.4720 -0.5165 -0.1845 -0.5613 -0.2881 -0.4490 -0.8744 -0.4404 -0.1739 -0.2615 -0.5470 -0.4407 0.2645 -0.3833 -0.3771 -0.9740 -0.2460 -0.7607 0.5686 -0.2994 eV per atom